The following is a DFT calculation (PBE) of a geometry-optimized Be2ZnCo2 structure.

```
Be2ZnCo2
1.0
6.1922 0.0000 0.0000
0.0000 6.1922 0.0000
0.0000 0.0000 2.6605
Be Zn Co
4 2 4
Cartesian
0.9452 2.1509 0.0000
2.1509 5.2470 0.0000
4.0413 0.9452 0.0000
5.2470 4.0413 0.0000
0.0000 0.0000 1.3303
3.0961 3.0961 1.3303
0.8677 3.9638 1.3303
2.2284 0.8677 1.3303
3.9638 5.3245 1.3303
5.3245 2.2284 1.3303
```

As for the density of states at the Fermi level: 0.451 states/eV per atom. Its space-group type is No. 127. The electronic total energy is -4.636 eV/atom. For the energy above the most stable polymorph in this dataset, the calculation gives 15.3 kJ per mole of atoms. The energy of formation from the pure elements is -4.6 kJ per mole of atoms.